{"formula": "ZnSnSbP", "functional": "PBE", "state": "relaxed", "lattice_angstrom": [[4.618, -5.425, -2.060], [-0.854, -5.881, 4.437], [-4.850, 4.112, -3.817]], "species": ["P", "P", "Sb", "Sb", "Sn", "Sn", "Zn", "Zn"], "fractional_positions": [[0.988, 0.250, 0.238], [0.512, 0.750, 0.262], [0.750, 0.458, 0.708], [0.250, 0.042, 0.792], [0.132, 0.882, 0.250], [0.368, 0.618, 0.750], [0.647, 0.397, 0.250], [0.853, 0.103, 0.750]], "mass_density_g_cm3": 5.1, "e_above_lowest_polymorph_mev_per_atom": 28.7}


{"formula": "Sm3Mg3Tl2Zn", "functional": "PBE", "state": "relaxed", "lattice_angstrom": [[7.599, 0.000, 0.000], [-3.799, 6.581, 0.000], [0.000, 0.000, 4.655]], "species": ["Mg", "Mg", "Mg", "Sm", "Sm", "Sm", "Tl", "Tl", "Zn"], "fractional_positions": [[0.765, 0.000, 0.500], [0.235, 0.235, 0.500], [0.000, 0.765, 0.500], [0.412, 0.000, 0.000], [0.000, 0.412, 0.000], [0.588, 0.588, 0.000], [0.667, 0.333, 0.500], [0.333, 0.667, 0.500], [0.000, 0.000, 0.000]], "mass_density_g_cm3": 7.1, "e_tot_ev_per_atom": -3.093}


{"formula": "Sc2Ni2BiSb", "functional": "PBE", "state": "relaxed", "lattice_angstrom": [[8.739, 0.000, 0.000], [0.000, 4.367, 0.000], [-4.364, 0.000, 12.358]], "species": ["Bi", "Bi", "Bi", "Bi", "Ni", "Ni", "Ni", "Ni", "Ni", "Ni", "Ni", "Ni", "Sb", "Sb", "Sb", "Sb", "Sc", "Sc", "Sc", "Sc", "Sc", "Sc", "Sc", "Sc"], "fractional_positions": [[0.853, 0.000, 0.042], [0.729, 0.500, 0.292], [0.479, 0.500, 0.791], [0.980, 0.500, 0.791], [0.410, 0.500, 0.165], [0.923, 0.500, 0.171], [0.293, 0.000, 0.416], [0.795, 0.000, 0.422], [0.166, 0.500, 0.661], [0.664, 0.500, 0.661], [0.047, 0.000, 0.919], [0.536, 0.000, 0.920], [0.352, 0.000, 0.042], [0.230, 0.500, 0.292], [0.605, 0.000, 0.541], [0.106, 0.000, 0.541], [0.600, 0.500, 0.043], [0.107, 0.500, 0.044], [0.476, 0.000, 0.292], [0.984, 0.000, 0.295], [0.354, 0.500, 0.539], [0.855, 0.500, 0.541], [0.728, 0.000, 0.789], [0.229, 0.000, 0.790]], "mass_density_g_cm3": 7.6, "e_tot_ev_per_atom": -6.104}


{"formula": "Nd2YSn3IrPd2", "functional": "PBE", "state": "relaxed", "lattice_angstrom": [[-0.358, -4.078, -0.068], [6.586, -0.517, -3.733], [-0.093, -0.118, 7.587]], "species": ["Ir", "Nd", "Nd", "Pd", "Pd", "Sn", "Sn", "Sn", "Y"], "fractional_positions": [[0.000, 0.996, 0.996], [0.000, 0.409, 0.001], [0.000, 0.001, 0.409], [0.500, 0.665, 0.337], [0.500, 0.337, 0.665], [0.500, 0.252, 0.252], [0.500, 0.998, 0.747], [0.500, 0.747, 0.998], [0.000, 0.596, 0.596]], "mass_density_g_cm3": 9.3, "e_tot_ev_per_atom": -6.142}


{"formula": "Zr2NiIr", "functional": "PBE", "state": "relaxed", "lattice_angstrom": [[-4.896, -0.661, -1.938], [1.552, -2.402, -3.103], [1.123, -4.917, 4.368]], "species": ["Ir", "Ir", "Ni", "Ni", "Zr", "Zr", "Zr", "Zr"], "fractional_positions": [[0.827, 0.750, 0.213], [0.173, 0.250, 0.787], [0.177, 0.250, 0.301], [0.823, 0.750, 0.699], [0.279, 0.750, 0.067], [0.712, 0.250, 0.431], [0.288, 0.750, 0.569], [0.721, 0.250, 0.933]], "mass_density_g_cm3": 10.1, "formation_energy_ev_per_atom": -0.687}


{"formula": "AgGeAsO", "functional": "PBE", "state": "relaxed", "lattice_angstrom": [[3.272, 0.000, 0.000], [0.000, 6.999, 0.000], [0.000, 0.000, 6.605]], "species": ["Ag", "Ag", "As", "As", "Ge", "Ge", "O", "O"], "fractional_positions": [[0.500, 0.370, 0.042], [0.500, 0.630, 0.542], [0.000, 0.849, 0.343], [0.000, 0.151, 0.843], [0.000, 0.184, 0.468], [0.000, 0.816, 0.968], [0.500, 0.311, 0.401], [0.500, 0.689, 0.901]], "mass_density_g_cm3": 6.0, "e_above_lowest_polymorph_mev_per_atom": 191.9}


{"formula": "CsKTlAu3", "functional": "PBE", "state": "relaxed", "lattice_angstrom": [[5.829, 0.000, 0.000], [0.000, 7.048, 0.000], [0.000, 0.000, 9.217]], "species": ["Au", "Au", "Au", "Au", "Au", "Au", "Cs", "Cs", "K", "K", "Tl", "Tl"], "fractional_positions": [[0.000, 0.000, 0.000], [0.500, 0.000, 0.000], [0.250, 0.202, 0.224], [0.250, 0.798, 0.224], [0.750, 0.202, 0.776], [0.750, 0.798, 0.776], [0.750, 0.500, 0.134], [0.250, 0.500, 0.866], [0.750, 0.000, 0.363], [0.250, 0.000, 0.637], [0.250, 0.500, 0.430], [0.750, 0.500, 0.570]], "mass_density_g_cm3": 8.5, "e_tot_ev_per_atom": -2.637}


{"formula": "PmTc4Ge2", "functional": "PBE", "state": "relaxed", "lattice_angstrom": [[2.081, -7.192, 0.000], [2.081, 7.192, 0.000], [0.000, 0.000, 4.133]], "species": ["Ge", "Ge", "Pm", "Tc", "Tc", "Tc", "Tc"], "fractional_positions": [[0.588, 0.412, 0.500], [0.412, 0.588, 0.500], [0.000, 0.000, 0.000], [0.699, 0.301, 0.000], [0.301, 0.699, 0.000], [0.804, 0.196, 0.500], [0.196, 0.804, 0.500]], "mass_density_g_cm3": 9.2, "e_tot_ev_per_atom": -8.322}


{"formula": "TmPuNp", "functional": "PBE", "state": "relaxed", "lattice_angstrom": [[0.621, 2.352, 4.292], [-2.377, -1.558, 4.033], [2.505, -2.164, 3.658]], "species": ["Np", "Pu", "Tm"], "fractional_positions": [[0.500, 0.500, 0.500], [0.250, 0.250, 0.250], [0.000, 0.000, 0.000]], "mass_density_g_cm3": 12.7, "e_above_lowest_polymorph_mev_per_atom": 0.0, "formation_energy_ev_per_atom": 0.869}


{"formula": "DyY2Fe7Ni2", "functional": "PBE", "state": "relaxed", "lattice_angstrom": [[-8.140, 2.415, 1.985], [-5.069, 5.654, 4.286], [-6.096, 6.206, -0.598]], "species": ["Dy", "Fe", "Fe", "Fe", "Fe", "Fe", "Fe", "Fe", "Ni", "Ni", "Y", "Y"], "fractional_positions": [[0.000, 0.000, 0.000], [0.581, 0.581, 0.083], [0.917, 0.419, 0.419], [0.419, 0.917, 0.419], [0.500, 0.500, 0.500], [0.581, 0.083, 0.581], [0.083, 0.581, 0.581], [0.419, 0.419, 0.917], [0.332, 0.332, 0.332], [0.668, 0.668, 0.668], [0.142, 0.142, 0.142], [0.858, 0.858, 0.858]], "mass_density_g_cm3": 7.8, "formation_energy_ev_per_atom": -0.123}


{"formula": "SrGdGe2", "functional": "PBE", "state": "relaxed", "lattice_angstrom": [[3.358, 0.000, 0.000], [0.000, 3.023, 5.983], [0.000, -3.023, 5.983]], "species": ["Gd", "Ge", "Ge", "Sr"], "fractional_positions": [[0.000, 0.156, 0.156], [0.000, 0.392, 0.392], [0.000, 0.598, 0.598], [0.000, 0.855, 0.855]], "mass_density_g_cm3": 5.3, "e_tot_ev_per_atom": -3.796}


{"formula": "Pt4WBr2", "functional": "PBE", "state": "relaxed", "lattice_angstrom": [[3.719, -5.187, 0.000], [3.719, 5.187, 0.000], [-0.096, 0.000, 3.711]], "species": ["Br", "Br", "Pt", "Pt", "Pt", "Pt", "W"], "fractional_positions": [[0.500, 0.000, 0.500], [0.000, 0.500, 0.500], [0.749, 0.251, 0.000], [0.251, 0.749, 0.000], [0.758, 0.758, 0.483], [0.242, 0.242, 0.517], [0.000, 0.000, 0.000]], "mass_density_g_cm3": 13.0, "e_tot_ev_per_atom": -4.979}


{"formula": "TbBrCl2", "functional": "PBE", "state": "relaxed", "lattice_angstrom": [[3.471, -6.229, 0.000], [3.471, 6.229, 0.000], [-2.228, 0.000, 6.477]], "species": ["Br", "Br", "Cl", "Cl", "Cl", "Cl", "Tb", "Tb"], "fractional_positions": [[0.219, 0.219, 0.255], [0.781, 0.781, 0.745], [0.941, 0.570, 0.228], [0.570, 0.941, 0.228], [0.430, 0.059, 0.772], [0.059, 0.430, 0.772], [0.833, 0.168, 0.000], [0.168, 0.833, 0.000]], "mass_density_g_cm3": 3.7, "e_tot_ev_per_atom": -4.652}


{"formula": "ZnAgTeO", "functional": "PBE", "state": "relaxed", "lattice_angstrom": [[4.192, 0.000, 0.000], [0.000, 4.192, 0.000], [0.000, 0.000, 10.259]], "species": ["Ag", "Ag", "O", "O", "Te", "Te", "Zn", "Zn"], "fractional_positions": [[0.250, 0.250, 0.288], [0.750, 0.750, 0.712], [0.250, 0.250, 0.085], [0.750, 0.750, 0.915], [0.750, 0.250, 0.500], [0.250, 0.750, 0.500], [0.750, 0.750, 0.094], [0.250, 0.250, 0.906]], "mass_density_g_cm3": 5.8, "e_above_lowest_polymorph_mev_per_atom": 682.4}


{"formula": "PrSnTe3Au", "functional": "PBE", "state": "relaxed", "lattice_angstrom": [[-1.668, 4.080, -0.771], [-2.856, 1.160, 12.326], [11.510, 5.119, 2.185]], "species": ["Au", "Au", "Au", "Au", "Pr", "Pr", "Pr", "Pr", "Sn", "Sn", "Sn", "Sn", "Te", "Te", "Te", "Te", "Te", "Te", "Te", "Te", "Te", "Te", "Te", "Te"], "fractional_positions": [[0.250, 0.780, 0.225], [0.750, 0.280, 0.275], [0.250, 0.720, 0.725], [0.750, 0.220, 0.775], [0.750, 0.695, 0.037], [0.250, 0.195, 0.463], [0.750, 0.805, 0.537], [0.250, 0.305, 0.963], [0.750, 0.953, 0.215], [0.250, 0.453, 0.285], [0.750, 0.547, 0.715], [0.250, 0.047, 0.785], [0.250, 0.877, 0.033], [0.750, 0.440, 0.098], [0.250, 0.174, 0.201], [0.750, 0.674, 0.299], [0.250, 0.940, 0.402], [0.750, 0.377, 0.467], [0.250, 0.623, 0.533], [0.750, 0.060, 0.598], [0.250, 0.326, 0.701], [0.750, 0.826, 0.799], [0.250, 0.560, 0.902], [0.750, 0.123, 0.967]], "mass_density_g_cm3": 7.7, "e_above_lowest_polymorph_mev_per_atom": 16.2}


{"formula": "LuTaMo", "functional": "PBE", "state": "relaxed", "lattice_angstrom": [[0.875, -0.499, 4.439], [-2.946, -2.222, 2.665], [1.078, -4.099, 1.660]], "species": ["Lu", "Mo", "Ta"], "fractional_positions": [[0.250, 0.250, 0.250], [0.000, 0.000, 0.000], [0.750, 0.750, 0.750]], "mass_density_g_cm3": 11.3, "e_above_lowest_polymorph_mev_per_atom": 0.0, "formation_energy_ev_per_atom": 0.602}


{"formula": "Cu7Ag3", "functional": "PBE", "state": "relaxed", "lattice_angstrom": [[-1.888, 3.955, -1.547], [-2.614, 0.923, -3.731], [-7.006, -1.596, 4.543]], "species": ["Ag", "Ag", "Ag", "Cu", "Cu", "Cu", "Cu", "Cu", "Cu", "Cu"], "fractional_positions": [[0.500, 0.500, 0.000], [0.304, 0.304, 0.392], [0.696, 0.696, 0.608], [0.199, 0.199, 0.097], [0.901, 0.901, 0.197], [0.601, 0.601, 0.294], [0.000, 0.000, 0.500], [0.399, 0.399, 0.706], [0.099, 0.099, 0.803], [0.801, 0.801, 0.903]], "mass_density_g_cm3": 9.3, "e_above_lowest_polymorph_mev_per_atom": 45.0, "formation_energy_ev_per_atom": 0.090}


{"formula": "PmCoB", "functional": "PBE", "state": "relaxed", "lattice_angstrom": [[0.000, 2.940, 2.940], [2.940, 0.000, 2.940], [2.940, 2.940, 0.000]], "species": ["B", "Co", "Pm"], "fractional_positions": [[0.000, 0.000, 0.000], [0.250, 0.250, 0.250], [0.750, 0.750, 0.750]], "mass_density_g_cm3": 7.0, "e_above_lowest_polymorph_mev_per_atom": 0.0}


{"formula": "Ni3Se5", "functional": "PBE", "state": "relaxed", "lattice_angstrom": [[1.763, -5.801, 0.000], [1.763, 5.801, 0.000], [-0.003, 0.000, 14.946]], "species": ["Ni", "Ni", "Ni", "Ni", "Ni", "Ni", "Se", "Se", "Se", "Se", "Se", "Se", "Se", "Se", "Se", "Se"], "fractional_positions": [[0.219, 0.781, 0.102], [0.701, 0.299, 0.250], [0.219, 0.781, 0.398], [0.781, 0.219, 0.602], [0.299, 0.701, 0.750], [0.781, 0.219, 0.898], [0.846, 0.155, 0.051], [0.581, 0.419, 0.131], [0.330, 0.670, 0.250], [0.581, 0.419, 0.369], [0.845, 0.154, 0.449], [0.155, 0.846, 0.551], [0.419, 0.581, 0.631], [0.670, 0.330, 0.750], [0.419, 0.581, 0.869], [0.154, 0.845, 0.949]], "mass_density_g_cm3": 6.2, "e_tot_ev_per_atom": -4.454}


{"formula": "HfInCoCu", "functional": "PBE", "state": "relaxed", "lattice_angstrom": [[0.626, -4.014, 1.957], [-1.807, -0.843, 4.045], [-3.444, -2.888, 0.374]], "species": ["Co", "Cu", "Hf", "In"], "fractional_positions": [[0.500, 0.500, 0.500], [0.750, 0.750, 0.750], [0.250, 0.250, 0.250], [0.000, 0.000, 0.000]], "mass_density_g_cm3": 10.6, "e_above_lowest_polymorph_mev_per_atom": 308.2}


{"formula": "BaPmSm", "functional": "PBE", "state": "relaxed", "lattice_angstrom": [[0.000, 4.142, 4.142], [4.142, 0.000, 4.142], [4.142, 4.142, 0.000]], "species": ["Ba", "Pm", "Sm"], "fractional_positions": [[0.250, 0.250, 0.250], [0.750, 0.750, 0.750], [0.000, 0.000, 0.000]], "mass_density_g_cm3": 5.1, "e_above_lowest_polymorph_mev_per_atom": 0.0}


{"formula": "BaNi", "functional": "PBE", "state": "relaxed", "lattice_angstrom": [[-4.090, 2.348, -0.202], [1.218, -2.285, 3.947], [3.513, 6.343, 2.588]], "species": ["Ba", "Ba", "Ni", "Ni"], "fractional_positions": [[0.000, 0.000, 0.000], [0.333, 0.667, 0.500], [0.000, 0.000, 0.375], [0.333, 0.667, 0.875]], "mass_density_g_cm3": 4.4, "e_tot_ev_per_atom": -3.140}


{"formula": "TaBeCuNi", "functional": "PBE", "state": "relaxed", "lattice_angstrom": [[0.000, 2.894, 2.894], [2.894, 0.000, 2.894], [2.894, 2.894, 0.000]], "species": ["Be", "Cu", "Ni", "Ta"], "fractional_positions": [[0.000, 0.000, 0.000], [0.750, 0.750, 0.750], [0.500, 0.500, 0.500], [0.250, 0.250, 0.250]], "mass_density_g_cm3": 10.7, "e_above_lowest_polymorph_mev_per_atom": 0.0}


{"formula": "Dy2ErFe7Ni2", "functional": "PBE", "state": "relaxed", "lattice_angstrom": [[2.496, 1.441, 8.198], [-2.496, 1.441, 8.198], [0.000, -2.882, 8.198]], "species": ["Dy", "Dy", "Er", "Fe", "Fe", "Fe", "Fe", "Fe", "Fe", "Fe", "Ni", "Ni"], "fractional_positions": [[0.142, 0.142, 0.142], [0.858, 0.858, 0.858], [0.000, 0.000, 0.000], [0.582, 0.582, 0.083], [0.917, 0.418, 0.418], [0.418, 0.917, 0.418], [0.500, 0.500, 0.500], [0.582, 0.083, 0.582], [0.083, 0.582, 0.582], [0.418, 0.418, 0.917], [0.333, 0.333, 0.333], [0.667, 0.667, 0.667]], "mass_density_g_cm3": 9.4, "formation_energy_ev_per_atom": -0.133}